The following is a DFT calculation (meta-GGA SCAN) of a crystal of NbNO2F relaxed with PBEsol.

Output
The value obtained for the uncorrected formation energy is 0.77 eV/atom.

a = 3.613 Å, b = 3.613 Å, c = 3.477 Å
α = 90.00°, β = 90.00°, γ = 90.00°
Fractional positions:
Nb 0.000 0.000 0.000
N 0.500 0.500 0.000
O 0.000 0.500 0.500
O 0.500 0.000 0.500
F 0.500 0.500 0.500


The following is a DFT calculation (meta-GGA SCAN) of a crystal of LiCoP4O12 relaxed with PBEsol.

Output
For the energy relative to the lowest polymorph listed for this composition, the calculation gives 22 meV per atom. The value obtained for the uncorrected formation energy is -2.24 eV/atom.

a = 10.296 Å, b = 10.296 Å, c = 4.943 Å
α = 98.28°, β = 98.28°, γ = 71.72°
Fractional positions:
Li 0.088 0.088 0.064
Li 0.912 0.912 0.936
Co 0.000 0.500 0.500
Co 0.500 0.000 0.500
P 0.134 0.706 0.327
P 0.187 0.434 0.022
P 0.294 0.866 0.673
P 0.434 0.187 0.022
P 0.566 0.813 0.978
P 0.706 0.134 0.327
P 0.813 0.566 0.978
P 0.866 0.294 0.673
O 0.056 0.827 0.181
O 0.062 0.655 0.516
O 0.086 0.406 0.182
O 0.162 0.410 0.713
O 0.173 0.944 0.819
O 0.209 0.580 0.115
O 0.270 0.730 0.500
O 0.339 0.339 0.106
O 0.345 0.938 0.484
O 0.406 0.086 0.182
O 0.410 0.162 0.713
O 0.420 0.791 0.885
O 0.580 0.209 0.115
O 0.590 0.838 0.287
O 0.594 0.914 0.818
O 0.655 0.062 0.516
O 0.661 0.661 0.894
O 0.730 0.270 0.500
O 0.791 0.420 0.885
O 0.827 0.056 0.181
O 0.838 0.590 0.287
O 0.914 0.594 0.818
O 0.938 0.345 0.484
O 0.944 0.173 0.819


The following is a DFT calculation (meta-GGA SCAN) of a crystal of Mg2ScNi relaxed with PBEsol.

Output
As for the electronic total energy: -10.169 eV/atom.

a = 3.906 Å, b = 3.906 Å, c = 4.644 Å
α = 90.00°, β = 90.00°, γ = 90.00°
Fractional positions:
Mg 0.000 0.500 0.000
Mg 0.500 0.000 0.000
Sc 0.000 0.000 0.500
Ni 0.500 0.500 0.500


The following is a DFT calculation (meta-GGA SCAN) of a crystal of TiAlPPd2 relaxed with PBEsol.

Output
As for the electronic total energy: -19.457 eV/atom.

a = 4.624 Å, b = 4.624 Å, c = 4.543 Å
α = 90.00°, β = 90.00°, γ = 90.00°
Fractional positions:
Ti 0.000 0.000 0.000
Al 0.500 0.500 0.500
P 0.000 0.000 0.500
Pd 0.000 0.500 0.000
Pd 0.500 0.000 0.000


The following is a DFT calculation (meta-GGA SCAN) of a crystal of Zr2FeHg relaxed with PBEsol.

Output
As for the electronic total energy: -37.193 eV/atom.

a = 3.141 Å, b = 3.139 Å, c = 7.352 Å
α = 90.00°, β = 90.32°, γ = 90.00°
Fractional positions:
Zr 0.004 0.000 0.290
Zr 0.996 0.000 0.710
Fe 0.500 0.500 0.500
Hg 0.500 0.500 0.000


The following is a DFT calculation (meta-GGA SCAN) of a crystal of NaTaZnN2 relaxed with PBEsol.

Output
The value obtained for the uncorrected formation energy is 2.07 eV/atom.

a = 4.019 Å, b = 4.019 Å, c = 4.772 Å
α = 90.00°, β = 90.00°, γ = 90.00°
Fractional positions:
Na 0.000 0.000 0.000
Ta 0.500 0.500 0.000
Zn 0.500 0.500 0.500
N 0.000 0.500 0.500
N 0.500 0.000 0.500


The following is a DFT calculation (meta-GGA SCAN) of a crystal of Cr2AsAu relaxed with PBEsol.

Output
As for the electronic total energy: -31.455 eV/atom.

a = 2.895 Å, b = 2.895 Å, c = 6.985 Å
α = 90.00°, β = 90.00°, γ = 90.00°
Fractional positions:
Cr 0.000 0.000 0.000
Cr 0.500 0.500 0.174
As 0.000 0.000 0.398
Au 0.500 0.500 0.737


The following is a DFT calculation (meta-GGA SCAN) of a crystal of Li2CuGe relaxed with PBEsol.

Output
As for the electronic total energy: -10.123 eV/atom.

a = 4.151 Å, b = 4.151 Å, c = 4.151 Å
α = 60.00°, β = 60.00°, γ = 60.00°
Fractional positions:
Li 0.000 0.000 0.000
Li 0.250 0.250 0.250
Cu 0.500 0.500 0.500
Ge 0.750 0.750 0.750


The following is a DFT calculation (meta-GGA SCAN) of a crystal of POs2Br relaxed with PBEsol.

Output
For the energy relative to the lowest polymorph listed for this composition, the calculation gives 196 meV per atom. The value obtained for the uncorrected formation energy is 0.63 eV/atom.

a = 2.851 Å, b = 2.851 Å, c = 8.172 Å
α = 90.00°, β = 90.00°, γ = 90.00°
Fractional positions:
P 0.000 0.000 0.000
Os 0.000 0.000 0.597
Os 0.500 0.500 0.814
Br 0.500 0.500 0.368


The following is a DFT calculation (meta-GGA SCAN) of a crystal of LaPAu2 relaxed with PBEsol.

Output
As for the electronic total energy: -48.791 eV/atom.

a = 5.447 Å, b = 5.447 Å, c = 5.447 Å
α = 48.59°, β = 48.59°, γ = 48.59°
Fractional positions:
La 0.000 0.000 0.000
P 0.211 0.211 0.211
Au 0.528 0.528 0.528
Au 0.770 0.770 0.770


The following is a DFT calculation (meta-GGA SCAN) of a crystal of Mg2AlAu relaxed with PBEsol.

Output
As for the electronic total energy: -22.072 eV/atom.

a = 3.511 Å, b = 3.511 Å, c = 5.902 Å
α = 90.00°, β = 90.00°, γ = 90.00°
Fractional positions:
Mg 0.000 0.000 0.000
Mg 0.500 0.500 0.277
Al 0.000 0.000 0.533
Au 0.500 0.500 0.755


The following is a DFT calculation (meta-GGA SCAN) of a crystal of Tl2SiHgB relaxed with PBEsol.

Output
The value obtained for the uncorrected formation energy is 0.56 eV/atom.

a = 5.743 Å, b = 5.743 Å, c = 3.653 Å
α = 90.00°, β = 90.00°, γ = 90.00°
Fractional positions:
Tl 0.000 0.500 0.000
Tl 0.500 0.000 0.000
Si 0.000 0.000 0.000
Hg 0.500 0.500 0.500
B 0.000 0.000 0.500


The following is a DFT calculation (meta-GGA SCAN) of a crystal of LaTe2Os relaxed with PBEsol.

Output
For the energy relative to the lowest polymorph listed for this composition, the calculation gives 517 meV per atom. The value obtained for the uncorrected formation energy is 0.06 eV/atom.

a = 5.056 Å, b = 5.056 Å, c = 5.056 Å
α = 60.00°, β = 60.00°, γ = 60.00°
Fractional positions:
La 0.000 0.000 0.000
Te 0.250 0.250 0.250
Te 0.750 0.750 0.750
Os 0.500 0.500 0.500


The following is a DFT calculation (meta-GGA SCAN) of a crystal of CaOsPt2 relaxed with PBEsol.

Output
For the energy relative to the lowest polymorph listed for this composition, the calculation gives 0 meV per atom.

a = 4.958 Å, b = 4.958 Å, c = 5.046 Å
α = 98.72°, β = 98.72°, γ = 32.40°
Fractional positions:
Ca 0.000 0.000 0.000
Os 0.241 0.241 0.668
Pt 0.502 0.502 0.516
Pt 0.754 0.754 0.222


The following is a DFT calculation (meta-GGA SCAN) of a crystal of Zr2CuHg relaxed with PBEsol.

Output
As for the electronic total energy: -36.402 eV/atom.

a = 4.200 Å, b = 5.824 Å, c = 5.824 Å
α = 32.61°, β = 90.00°, γ = 90.00°
Fractional positions:
Zr 0.000 0.000 0.000
Zr 0.500 0.334 0.334
Cu 0.000 0.751 0.751
Hg 0.500 0.607 0.607


The following is a DFT calculation (meta-GGA SCAN) of a crystal of TcAg2W relaxed with PBEsol.

Output
For the energy relative to the lowest polymorph listed for this composition, the calculation gives 438 meV per atom.

a = 4.445 Å, b = 4.445 Å, c = 4.445 Å
α = 60.00°, β = 60.00°, γ = 60.00°
Fractional positions:
Tc 0.000 0.000 0.000
Ag 0.250 0.250 0.250
Ag 0.750 0.750 0.750
W 0.500 0.500 0.500


The following is a DFT calculation (meta-GGA SCAN) of a crystal of AlNi6Ru relaxed with PBEsol.

Output
As for the electronic total energy: -17.630 eV/atom.

a = 6.118 Å, b = 6.118 Å, c = 9.988 Å
α = 90.00°, β = 90.00°, γ = 109.43°
Fractional positions:
Al 0.000 0.000 0.248
Al 0.000 0.000 0.752
Al 0.250 0.750 0.000
Al 0.750 0.250 0.000
Ni 0.000 0.000 0.000
Ni 0.000 0.000 0.500
Ni 0.125 0.375 0.374
Ni 0.125 0.375 0.626
Ni 0.126 0.375 0.125
Ni 0.126 0.375 0.875
Ni 0.251 0.749 0.251
Ni 0.251 0.749 0.749
Ni 0.375 0.125 0.374
Ni 0.375 0.125 0.626
Ni 0.375 0.126 0.125
Ni 0.375 0.126 0.875
Ni 0.500 0.500 0.000
Ni 0.500 0.500 0.500
Ni 0.625 0.874 0.125
Ni 0.625 0.874 0.875
Ni 0.625 0.875 0.374
Ni 0.625 0.875 0.626
Ni 0.749 0.251 0.251
Ni 0.749 0.251 0.749
Ni 0.874 0.625 0.125
Ni 0.874 0.625 0.875
Ni 0.875 0.625 0.374
Ni 0.875 0.625 0.626
Ru 0.249 0.751 0.500
Ru 0.500 0.500 0.249
Ru 0.500 0.500 0.751
Ru 0.751 0.249 0.500


The following is a DFT calculation (meta-GGA SCAN) of a crystal of ReBSeBr2 relaxed with PBEsol.

Output
The value obtained for the uncorrected formation energy is 1.31 eV/atom.

a = 5.141 Å, b = 5.141 Å, c = 4.648 Å
α = 90.00°, β = 90.00°, γ = 90.00°
Fractional positions:
Re 0.000 0.000 0.000
B 0.500 0.500 0.500
Se 0.000 0.000 0.500
Br 0.000 0.500 0.000
Br 0.500 0.000 0.000


The following is a DFT calculation (meta-GGA SCAN) of a crystal of AuCS2Cl3 relaxed with PBEsol.

Output
The value obtained for the uncorrected formation energy is -0.16 eV/atom.

a = 9.123 Å, b = 9.123 Å, c = 10.875 Å
α = 114.67°, β = 114.67°, γ = 66.58°
Fractional positions:
Au 0.045 0.288 0.033
Au 0.288 0.045 0.533
Au 0.712 0.955 0.467
Au 0.955 0.712 0.967
C 0.257 0.699 0.953
C 0.301 0.743 0.547
C 0.699 0.257 0.453
C 0.743 0.301 0.047
S 0.145 0.561 0.837
S 0.155 0.832 0.422
S 0.168 0.845 0.078
S 0.439 0.855 0.663
S 0.561 0.145 0.337
S 0.832 0.155 0.922
S 0.845 0.168 0.578
S 0.855 0.439 0.163
Cl 0.113 0.202 0.381
Cl 0.202 0.113 0.881
Cl 0.233 0.448 0.168
Cl 0.309 0.561 0.555
Cl 0.439 0.691 0.945
Cl 0.448 0.233 0.668
Cl 0.552 0.767 0.332
Cl 0.561 0.309 0.055
Cl 0.691 0.439 0.445
Cl 0.767 0.552 0.832
Cl 0.798 0.887 0.119
Cl 0.887 0.798 0.619


The following is a DFT calculation (meta-GGA SCAN) of a crystal of MgBeO2F relaxed with PBEsol.

Output
The value obtained for the uncorrected formation energy is -2.22 eV/atom.

a = 3.366 Å, b = 3.366 Å, c = 3.654 Å
α = 90.00°, β = 90.00°, γ = 90.00°
Fractional positions:
Mg 0.000 0.000 0.000
Be 0.500 0.500 0.500
O 0.000 0.500 0.500
O 0.500 0.000 0.500
F 0.500 0.500 0.000